1.
Crystalline LaTc3W at its relaxed geometry. Source: Alexandria, functional PBE-GGA.

```
LaTc3W
1.0
4.653 0.000 0.000
0.000 4.653 0.000
0.000 0.000 4.653
La Tc W
1 3 1
Direct
0.000 0.000 0.000 La
0.000 0.000 0.500 Tc
0.000 0.500 0.000 Tc
0.500 0.000 0.000 Tc
0.500 0.500 0.500 W
```

Results
Space group: Pm-3m
Formation enthalpy at 0 K, eV per atom: 2.478
N(E_F), states/eV/atom: 1.208
Energy above the lowest structure with this stoichiometry, meV/atom: 1535
Electronic total energy, eV per atom: -7.32

2.
Crystalline LaTc2W at its relaxed geometry. Source: Alexandria, functional PBE-GGA.

```
LaTc2W
1.0
3.196 0.000 0.000
0.000 3.196 0.000
0.000 0.000 7.609
La Tc W
1 2 1
Direct
0.000 0.000 0.000 La
0.000 0.000 0.497 Tc
0.500 0.500 0.322 Tc
0.500 0.500 0.684 W
```

Results
Space group: P4mm
Formation enthalpy at 0 K, eV per atom: 0.418
N(E_F), states/eV/atom: 1.031
Electronic total energy, eV per atom: -9.23

3.
Crystalline LaTcW2 at its relaxed geometry. Source: Alexandria, functional PBE-GGA.

```
LaTcW2
1.0
2.929 0.000 0.000
-1.464 2.536 0.000
0.000 0.000 30.042
La Tc W
3 3 6
Direct
0.000 0.000 0.000 La
0.333 0.667 0.667 La
0.667 0.333 0.333 La
0.000 0.000 0.500 Tc
0.333 0.667 0.167 Tc
0.667 0.333 0.833 Tc
0.000 0.000 0.238 W
0.000 0.000 0.762 W
0.333 0.667 0.429 W
0.333 0.667 0.905 W
0.667 0.333 0.095 W
0.667 0.333 0.571 W
```

Results
Space group: R-3m
Formation enthalpy at 0 K, eV per atom: 0.676
N(E_F), states/eV/atom: 1.275
Energy above the lowest structure with this stoichiometry, meV/atom: 293
Electronic total energy, eV per atom: -9.62

4.
Crystalline LaTc2W at its relaxed geometry. Source: Alexandria, functional PBE-GGA.

```
LaTc2W
1.0
3.134 0.000 0.000
0.000 4.951 0.000
0.000 0.000 9.617
La Tc W
2 4 2
Direct
0.000 0.000 0.000 La
0.500 0.500 0.500 La
0.000 0.000 0.503 Tc
0.000 0.500 0.773 Tc
0.500 0.000 0.273 Tc
0.500 0.500 0.003 Tc
0.000 0.500 0.223 W
0.500 0.000 0.723 W
```

Results
Space group: Imm2
Formation enthalpy at 0 K, eV per atom: 0.548
N(E_F), states/eV/atom: 0.923
Electronic total energy, eV per atom: -9.11

Number 1: magnetic moment 0.000 μB/cell. Number 2: magnetic moment 0.000 μB/cell. Number 3: magnetic moment 0.000 μB/cell. Number 4: magnetic moment 0.000 μB/cell.